Density functional theory data (GGA-PBE) for CuTeCl2 after structural relaxation.

Energy relative to the lowest polymorph listed for this composition   679 meV/atom
Raw formation energy   0.35 eV per atom

Cell lengths 5.172, 5.172, 3.227 Å; angles 90.00, 90.00, 90.00 degrees
Atoms (fractional coordinates):
Te: 0.000 0.500 0.500
Cu: 0.500 0.000 0.500
Cl: 0.000 0.000 0.000
Cl: 0.500 0.500 0.000